Density functional theory data (GGA-PBE) for an optimized crystal structure of TbPt2Pb.

Uncorrected energy = -5.83 eV per atom
Space group = P4/mmm, No. 123

a b c (Å): 3.565 3.565 6.789
angles (deg): 90.00 90.00 90.00
Fractional coordinates of all 4 atoms:
Pb1 0.500 0.500 0.500
Tb1 0.500 0.500 0.000
Pt1 0.000 0.000 0.768
Pt2 0.000 0.000 0.232